# 1
La3Nd3Zn2Ga | PBE | optimized geometry

* density of states at the Fermi level: 12.49 states/eV/f.u.
* crystal system: hexagonal
* energy of formation from the pure elements: -0.2258 eV/atom

a b c (Å): 8.1681 8.1681 4.5632
angles (deg): 90.00 90.00 120.00
Space group P-62m (No. 189)
Asymmetric unit:
La (0.0000, 0.7284, 0.0000) (multiplicity 3)
Nd (0.0000, 0.4041, 0.5000) (multiplicity 3)
Zn (0.3333, 0.6667, 0.0000) (multiplicity 2)
Ga (0.0000, 0.0000, 0.5000) (multiplicity 1)



# 2
La2GaNi3 | PBE | optimized geometry

* density of states at the Fermi level: 4.86 states/eV/f.u.
* crystal system: orthorhombic
* energy of formation from the pure elements: -0.4141 eV/atom

a b c (Å): 8.039 8.483 14.354
angles (deg): 90.00 90.00 90.00
Space group Fmmm (No. 69)
Asymmetric unit:
La (0.242, 0.000, 0.000) (multiplicity 8)
La (0.250, 0.250, 0.250) (multiplicity 8)
Ga (0.000, 0.000, 0.334) (multiplicity 8)
Ni (0.000, 0.000, 0.165) (multiplicity 8)
Ni (0.000, 0.250, 0.084) (multiplicity 16)



# 3
La8Ga2Ni | PBE | optimized geometry

* density of states at the Fermi level: 14.11 states/eV/f.u.
* crystal system: orthorhombic
* energy of formation from the pure elements: -0.1763 eV/atom

a b c (Å): 4.884 9.353 14.298
angles (deg): 90.00 90.00 90.00
Space group Immm (No. 71)
Asymmetric unit:
La (0.000, 0.000, 0.124) (multiplicity 4)
La (0.000, 0.219, 0.346) (multiplicity 8)
La (0.000, 0.344, 0.000) (multiplicity 4)
Ga (0.000, 0.500, 0.206) (multiplicity 4)
Ni (0.000, 0.500, 0.500) (multiplicity 2)



# 4
La2GaNi | PBE | optimized geometry

* density of states at the Fermi level: 2.80 states/eV/f.u.
* crystal system: tetragonal
* energy of formation from the pure elements: -0.3848 eV/atom

a b c (Å): 3.623 3.623 7.508
angles (deg): 90.00 90.00 90.00
Space group P4/mmm (No. 123)
Asymmetric unit:
La (0.000, 0.000, 0.228) (multiplicity 2)
Ga (0.500, 0.500, 0.500) (multiplicity 1)
Ni (0.500, 0.500, 0.000) (multiplicity 1)



# 5
La5Ga2Ni | PBE | optimized geometry

* density of states at the Fermi level: 9.10 states/eV/f.u.
* crystal system: orthorhombic
* energy of formation from the pure elements: -0.3806 eV/atom

a b c (Å): 7.807 12.363 4.813
angles (deg): 90.00 90.00 90.00
Space group Pbam (No. 55)
Asymmetric unit:
La (0.000, 0.000, 0.000) (multiplicity 2)
La (0.139, 0.294, 0.000) (multiplicity 4)
La (0.179, 0.579, 0.500) (multiplicity 4)
Ga (0.080, 0.837, 0.500) (multiplicity 4)
Ni (0.000, 0.500, 0.000) (multiplicity 2)



# 6
LaGa8Ni4 | PBE | optimized geometry

* density of states at the Fermi level: 5.27 states/eV/f.u.
* crystal system: tetragonal
* energy of formation from the pure elements: -0.4224 eV/atom

a b c (Å): 8.741 8.741 5.180
angles (deg): 90.00 90.00 90.00
Space group I4/mmm (No. 139)
Asymmetric unit:
La (0.000, 0.000, 0.000) (multiplicity 2)
Ga (0.000, 0.226, 0.500) (multiplicity 8)
Ga (0.000, 0.346, 0.000) (multiplicity 8)
Ni (0.250, 0.250, 0.250) (multiplicity 8)



# 7
LaGa3Ni5 | PBE | optimized geometry

* density of states at the Fermi level: 5.97 states/eV/f.u.
* crystal system: orthorhombic
* energy of formation from the pure elements: -0.4127 eV/atom

a b c (Å): 3.901 12.225 11.669
angles (deg): 90.00 90.00 90.00
Space group Cmcm (No. 63)
Asymmetric unit:
La (0.000, 0.183, 0.250) (multiplicity 4)
Ga (0.000, 0.095, 0.750) (multiplicity 4)
Ga (0.000, 0.379, 0.545) (multiplicity 8)
Ni (0.000, 0.000, 0.000) (multiplicity 4)
Ni (0.000, 0.189, 0.565) (multiplicity 8)
Ni (0.000, 0.449, 0.143) (multiplicity 8)



# 8
La3Ga2Ni9 | PBE | optimized geometry

* density of states at the Fermi level: 11.86 states/eV/f.u.
* crystal system: orthorhombic
* energy of formation from the pure elements: -0.3617 eV/atom

a b c (Å): 4.057 9.398 12.330
angles (deg): 90.00 90.00 90.00
Space group Immm (No. 71)
Asymmetric unit:
La (0.000, 0.000, 0.000) (multiplicity 2)
La (0.000, 0.000, 0.302) (multiplicity 4)
Ga (0.000, 0.219, 0.500) (multiplicity 4)
Ni (0.000, 0.274, 0.106) (multiplicity 8)
Ni (0.000, 0.300, 0.302) (multiplicity 8)
Ni (0.000, 0.500, 0.000) (multiplicity 2)



# 9
LaGa2Ni2 | PBE | optimized geometry

* density of states at the Fermi level: 5.18 states/eV/f.u.
* crystal system: tetragonal
* energy of formation from the pure elements: -0.2428 eV/atom

a b c (Å): 7.552 7.552 2.932
angles (deg): 90.00 90.00 90.00
Space group P4/mbm (No. 127)
Asymmetric unit:
La (0.000, 0.000, 0.000) (multiplicity 2)
Ga (0.150, 0.350, 0.500) (multiplicity 4)
Ni (0.129, 0.629, 0.000) (multiplicity 4)



# 10
LaGa7Ni5 | PBE | optimized geometry

* density of states at the Fermi level: 7.87 states/eV/f.u.
* crystal system: orthorhombic
* energy of formation from the pure elements: -0.4326 eV/atom

a b c (Å): 5.098 8.795 8.596
angles (deg): 90.00 90.00 90.00
Space group Imm2 (No. 44)
Asymmetric unit:
La (0.000, 0.000, 0.000) (multiplicity 2)
Ga (0.000, 0.000, 0.357) (multiplicity 2)
Ga (0.000, 0.000, 0.658) (multiplicity 2)
Ga (0.000, 0.292, 0.493) (multiplicity 4)
Ga (0.000, 0.347, 0.023) (multiplicity 4)
Ga (0.000, 0.500, 0.741) (multiplicity 2)
Ni (0.000, 0.500, 0.273) (multiplicity 2)
Ni (0.247, 0.259, 0.754) (multiplicity 8)



# 11
La2Ga5Ni5 | PBE | optimized geometry

* density of states at the Fermi level: 7.74 states/eV/f.u.
* crystal system: orthorhombic
* energy of formation from the pure elements: -0.4773 eV/atom

a b c (Å): 5.213 9.714 8.069
angles (deg): 90.00 90.00 90.00
Space group Amm2 (No. 38)
Asymmetric unit:
La (0.000, 0.000, 0.000) (multiplicity 2)
La (0.500, 0.000, 0.389) (multiplicity 2)
Ga (0.000, 0.000, 0.604) (multiplicity 2)
Ga (0.256, 0.226, 0.696) (multiplicity 8)
Ni (0.000, 0.198, 0.428) (multiplicity 4)
Ni (0.500, 0.000, 0.746) (multiplicity 2)
Ni (0.500, 0.182, 0.964) (multiplicity 4)